Entry 1:
Below is crystalline MnCu2AsS at its relaxed geometry, with properties calculated at the PBE-GGA level.

```
MnCu2AsS
1.0
-0.030 0.487 4.429
-1.102 -4.777 0.517
4.343 -0.986 0.138
As Mn S Cu
1 1 1 2
Direct
0.000 0.000 0.000
0.000 0.500 0.000
0.500 0.500 0.500
0.000 0.000 0.500
0.500 0.000 0.000
```

Results
formation energy (no corrections)	0.4545	eV/atom

Entry 2:
Below is crystalline La2NdSi at its relaxed geometry, with properties calculated at the PBE-GGA level.

```
La2NdSi
1.0
4.195 -0.183 0.000
-1.823 6.435 0.000
0.000 0.000 9.434
La Nd Si
4 2 2
Direct
0.146 0.292 0.442
0.854 0.708 0.558
0.854 0.708 0.942
0.146 0.292 0.058
0.429 0.859 0.250
0.571 0.141 0.750
0.758 0.517 0.250
0.242 0.483 0.750
```

Results
formation energy (no corrections)	-0.3820	eV/atom
distance to the lowest polymorph of the same formula	0.000	eV per atom

Entry 3:
Below is crystalline KCa3Sc at its relaxed geometry, with properties calculated at the PBE-GGA level.

```
KCa3Sc
1.0
6.272 0.000 0.000
0.000 6.272 0.000
0.000 0.000 6.272
Sc Ca K
1 3 1
Direct
0.000 0.000 0.000
0.000 0.500 0.000
0.000 0.000 0.500
0.500 0.000 0.000
0.500 0.500 0.500
```

Results
distance to the lowest polymorph of the same formula	0.000	eV per atom
E_form	2.7	eV/f.u.

Entry 4:
Below is crystalline LiPuMnAl at its relaxed geometry, with properties calculated at the PBE-GGA level.

```
LiPuMnAl
1.0
4.582 0.000 0.000
2.291 3.968 0.000
2.291 1.323 3.741
Mn Li Al Pu
1 1 1 1
Direct
0.250 0.250 0.250
0.750 0.750 0.750
0.500 0.500 0.500
0.000 0.000 0.000
```

Results
E_form	0.1	eV/f.u.

Entry 5:
Below is crystalline AlCoTcPb2 at its relaxed geometry, with properties calculated at the PBE-GGA level.

```
AlCoTcPb2
1.0
4.998 0.000 0.000
0.000 4.494 0.000
0.000 0.000 4.998
Pb Co Tc Al
2 1 1 1
Direct
0.000 0.000 0.500
0.500 0.000 0.000
0.000 0.000 0.000
0.500 0.500 0.500
0.000 0.500 0.000
```

Results
E_form	4.3	eV/f.u.

Entry 6:
Below is crystalline SrLaTb4S8 at its relaxed geometry, with properties calculated at the PBE-GGA level.

```
SrLaTb4S8
1.0
-6.098 -3.534 4.199
-5.886 -4.099 -3.983
-0.320 -8.299 0.565
Sr La Tb S
1 1 4 8
Direct
0.374 0.374 0.879
0.001 0.001 0.996
0.626 0.626 0.123
0.002 0.495 0.502
0.495 0.002 0.502
0.002 0.002 0.502
0.243 0.790 0.725
0.790 0.243 0.725
0.243 0.243 0.725
0.236 0.236 0.292
0.751 0.231 0.268
0.231 0.751 0.268
0.751 0.751 0.268
0.758 0.758 0.727
```

Results
formation energy (no corrections)	-2.0048	eV/atom

Entry 7:
Below is crystalline CsInGa2 at its relaxed geometry, with properties calculated at the PBE-GGA level.

```
CsInGa2
1.0
-1.404 -3.491 -0.316
3.419 -1.438 0.706
-1.760 -0.053 8.412
Cs Ga In
1 2 1
Direct
0.500 0.500 0.500
0.000 0.000 0.829
0.000 0.000 0.171
0.500 0.500 0.000
```

Results
E_form	0.1	eV/f.u.

Entry 8:
Below is crystalline EuAsAu at its relaxed geometry, with properties calculated at the PBE-GGA level.

```
EuAsAu
1.0
4.237 0.000 0.000
0.000 4.454 0.000
0.000 -2.227 3.857
Eu As Au
1 1 1
Direct
0.666 0.667 0.333
0.173 0.333 0.667
0.161 0.000 0.000
```

Results
E_form	-2.7	eV/f.u.

Entry 9:
Below is crystalline BeTl2Sn2 at its relaxed geometry, with properties calculated at the PBE-GGA level.

```
BeTl2Sn2
1.0
6.720 0.000 0.000
0.000 6.720 0.000
0.000 0.000 5.960
Be Tl Sn
2 4 4
Direct
0.000 0.000 0.000
0.500 0.500 0.000
0.176 0.676 0.500
0.676 0.824 0.500
0.824 0.324 0.500
0.324 0.176 0.500
0.344 0.844 0.000
0.844 0.656 0.000
0.656 0.156 0.000
0.156 0.344 0.000
```

Results
E_form	1.3	eV/f.u.

Entry 10:
Below is crystalline NiSe3 at its relaxed geometry, with properties calculated at the PBE-GGA level.

```
NiSe3
1.0
3.372 0.000 0.000
0.000 6.392 0.000
0.000 0.000 7.959
Ni Se
2 6
Direct
0.000 0.703 0.000
0.500 0.297 0.500
0.500 0.438 0.000
0.000 0.562 0.500
0.000 0.197 0.303
0.000 0.197 0.697
0.500 0.803 0.803
0.500 0.803 0.197
```

Results
formation energy (no corrections)	0.0555	eV/atom

Entry 11:
Below is crystalline NaCu3F7 at its relaxed geometry, with properties calculated at the PBE-GGA level.

```
NaCu3F7
1.0
7.157 0.018 0.000
3.307 6.348 0.000
3.010 1.831 6.026
Na Cu F
2 6 14
Direct
0.500 0.500 0.000
0.500 0.500 0.500
0.500 0.000 0.500
0.000 0.500 0.000
0.000 0.000 0.500
0.000 0.000 0.000
0.000 0.500 0.500
0.500 0.000 0.000
0.107 0.893 0.250
0.893 0.107 0.750
0.621 0.690 0.103
0.310 0.379 0.397
0.379 0.310 0.897
0.690 0.621 0.603
0.630 0.028 0.182
0.972 0.370 0.318
0.887 0.303 0.999
0.697 0.113 0.501
0.113 0.697 0.001
0.303 0.887 0.499
0.028 0.630 0.682
0.370 0.972 0.818
```

Results
formation energy (no corrections)	-1.7519	eV/atom
distance to the lowest polymorph of the same formula	0.000	eV per atom

Entry 12:
Below is crystalline K2SrBr2 at its relaxed geometry, with properties calculated at the PBE-GGA level.

```
K2SrBr2
1.0
8.823 0.000 0.000
0.000 8.823 0.000
0.000 0.000 5.207
Sr K Br
2 4 4
Direct
0.000 0.000 0.000
0.500 0.500 0.000
0.159 0.659 0.500
0.659 0.841 0.500
0.841 0.341 0.500
0.341 0.159 0.500
0.337 0.837 0.000
0.837 0.663 0.000
0.663 0.163 0.000
0.163 0.337 0.000
```

Results
formation energy (no corrections)	-1.1771	eV/atom
distance to the lowest polymorph of the same formula	0.000	eV per atom

Entry 13:
Below is crystalline RePt2Se at its relaxed geometry, with properties calculated at the PBE-GGA level.

```
RePt2Se
1.0
2.888 0.000 0.000
0.000 2.888 0.000
0.000 0.000 7.930
Pt Re Se
2 1 1
Direct
0.000 0.000 0.022
0.500 0.500 0.271
0.000 0.000 0.503
0.500 0.500 0.705
```

Results
formation energy (no corrections)	0.1850	eV/atom

Entry 14:
Below is crystalline AlCdRe2 at its relaxed geometry, with properties calculated at the PBE-GGA level.

```
AlCdRe2
1.0
3.277 0.000 0.000
0.000 3.277 0.000
0.000 0.000 6.230
Re Al Cd
2 1 1
Direct
0.000 0.000 0.057
0.000 0.000 0.443
0.500 0.500 0.250
0.500 0.500 0.750
```

Results
distance to the lowest polymorph of the same formula	0.315	eV per atom
E_form	1.7	eV/f.u.

Entry 15:
Below is crystalline ScRuI2O at its relaxed geometry, with properties calculated at the PBE-GGA level.

```
ScRuI2O
1.0
5.864 0.000 0.000
0.000 5.864 0.000
0.000 0.000 3.841
I Ru Sc O
2 1 1 1
Direct
0.000 0.500 0.000
0.500 0.000 0.000
0.500 0.500 0.500
0.000 0.000 0.000
0.000 0.000 0.500
```

Results
formation energy (no corrections)	-0.4432	eV/atom
distance to the lowest polymorph of the same formula	0.000	eV per atom

Entry 16:
Below is crystalline Rb3Bi2O4 at its relaxed geometry, with properties calculated at the PBE-GGA level.

```
Rb3Bi2O4
1.0
6.183 0.537 0.385
0.792 8.936 -1.863
0.792 1.115 9.059
Rb Bi O
6 4 8
Direct
0.945 0.999 0.212
0.555 0.788 0.001
0.055 0.001 0.788
0.445 0.212 0.999
0.250 0.605 0.395
0.750 0.395 0.605
0.358 0.178 0.400
0.142 0.600 0.822
0.642 0.822 0.600
0.858 0.400 0.178
0.432 0.019 0.222
0.068 0.778 0.981
0.568 0.981 0.778
0.932 0.222 0.019
0.085 0.326 0.332
0.415 0.668 0.674
0.915 0.674 0.668
0.585 0.332 0.326
```

Results
formation energy (no corrections)	-1.1381	eV/atom

Entry 17:
Below is crystalline Dy2SiS at its relaxed geometry, with properties calculated at the PBE-GGA level.

```
Dy2SiS
1.0
3.957 0.000 0.000
1.979 3.427 0.000
1.979 1.142 6.996
Dy Si S
2 1 1
Direct
0.080 0.080 0.760
0.254 0.254 0.237
0.668 0.668 0.997
0.498 0.498 0.506
```

Results
formation energy (no corrections)	-1.2304	eV/atom
distance to the lowest polymorph of the same formula	0.182	eV per atom

Entry 18:
Below is crystalline InTc2Se at its relaxed geometry, with properties calculated at the PBE-GGA level.

```
InTc2Se
1.0
-3.438 2.535 0.343
-3.647 0.125 2.246
1.461 3.402 4.468
In Se Tc
1 1 2
Direct
0.750 0.750 0.750
0.250 0.250 0.250
0.993 0.993 0.054
0.507 0.507 0.446
```

Results
formation energy (no corrections)	0.3114	eV/atom
distance to the lowest polymorph of the same formula	0.240	eV per atom

Entry 19:
Below is crystalline Sc2TaTiIr at its relaxed geometry, with properties calculated at the PBE-GGA level.

```
Sc2TaTiIr
1.0
4.634 0.000 0.000
0.000 4.716 0.000
0.000 0.000 4.634
Sc Ir Ti Ta
2 1 1 1
Direct
0.000 0.000 0.500
0.500 0.000 0.000
0.500 0.500 0.500
0.000 0.000 0.000
0.000 0.500 0.000
```

Results
distance to the lowest polymorph of the same formula	0.571	eV per atom
E_form	5.1	eV/f.u.

Entry 20:
Below is crystalline CeHoPt at its relaxed geometry, with properties calculated at the PBE-GGA level.

```
CeHoPt
1.0
-1.628 0.004 3.418
-1.772 -5.383 -2.935
5.482 -3.231 2.615
Ho Pt Ce
2 2 2
Direct
0.500 0.000 0.500
0.500 0.000 0.000
0.115 0.229 0.250
0.885 0.771 0.750
0.212 0.425 0.750
0.788 0.575 0.250
```

Results
distance to the lowest polymorph of the same formula	0.000	eV per atom
E_form	-2.4	eV/f.u.

Entry 21:
Below is crystalline TaNbTc4 at its relaxed geometry, with properties calculated at the PBE-GGA level.

```
TaNbTc4
1.0
-0.559 -3.930 -3.292
3.758 -3.497 -0.504
-0.676 -4.789 1.792
Nb Tc Ta
1 4 1
Direct
0.250 0.250 0.250
0.625 0.625 0.124
0.625 0.124 0.625
0.625 0.625 0.625
0.124 0.625 0.625
0.000 0.000 0.000
```

Results
E_form	-0.5	eV/f.u.

Entry 22:
Below is crystalline Ni2Os at its relaxed geometry, with properties calculated at the PBE-GGA level.

```
Ni2Os
1.0
1.326 4.699 0.003
-1.326 4.699 0.003
0.000 1.580 5.868
Ni Os
4 2
Direct
0.025 0.025 0.696
0.640 0.640 0.969
0.360 0.360 0.031
0.975 0.975 0.304
0.696 0.696 0.357
0.304 0.304 0.643
```

Results
distance to the lowest polymorph of the same formula	0.042	eV per atom
E_form	0.3	eV/f.u.

Entry 23:
Below is crystalline Mn2AlV6 at its relaxed geometry, with properties calculated at the PBE-GGA level.

```
Mn2AlV6
1.0
2.884 0.000 0.458
1.283 4.582 1.229
0.091 -0.165 8.737
Mn Al V
2 1 6
Direct
0.329 0.110 0.233
0.671 0.890 0.767
0.000 0.000 0.000
0.681 0.524 0.115
0.319 0.476 0.885
0.333 0.774 0.560
0.996 0.682 0.326
0.004 0.318 0.674
0.667 0.226 0.440
```

Results
distance to the lowest polymorph of the same formula	0.000	eV per atom
E_form	-1.6	eV/f.u.

Entry 24:
Below is crystalline LaAlPd2W at its relaxed geometry, with properties calculated at the PBE-GGA level.

```
LaAlPd2W
1.0
-3.552 1.724 2.471
1.584 -2.357 3.922
2.599 3.685 1.166
Al Pd W La
1 2 1 1
Direct
0.000 0.000 0.000
0.000 0.000 0.500
0.500 0.000 0.000
0.000 0.500 0.000
0.500 0.500 0.500
```

Results
E_form	1.0	eV/f.u.

Entry 25:
Below is crystalline AcPmZn2Sn2 at its relaxed geometry, with properties calculated at the PBE-GGA level.

```
AcPmZn2Sn2
1.0
-1.636 -0.281 -4.243
4.220 -1.454 0.916
-3.189 -8.142 1.770
Ac Pm Zn Sn
1 1 2 2
Direct
0.000 0.000 0.000
0.000 0.000 0.500
0.667 0.333 0.290
0.333 0.667 0.710
0.667 0.333 0.743
0.333 0.667 0.257
```

Results
E_form	-3.5	eV/f.u.